Ba2SbPd3 | GGA-PBE | relaxed

The space group is Fmmm (No. 69) and the conventional cell measures 9.226, 9.543 and 15.883 Å, with angles of 90.00, 90.00 and 90.00 degrees. Symmetry generates all atoms from Ba at (0.000, 0.245, 0.000), Ba at (0.250, 0.250, 0.250), Sb at (0.000, 0.000, 0.334), Pd at (0.000, 0.000, 0.168) and Pd at (0.249, 0.000, 0.416).

The energy relative to the elements, uncorrected comes out at -0.6266 eV per atom. Its volume is 29.1 A^3/atom. For the raw total energy, the calculation gives -4.55 eV/atom. Its crystal system is orthorhombic.